The following is a PBE-GGA calculation of a relaxed structure of Cu3RhO, from Alexandria.

Cell lengths 3.924, 3.924, 3.924 Å; angles 90.00, 90.00, 90.00 degrees
Space group Pm-3m (No. 221)
One atom of each set of equivalent atoms:
Cu  0.000  0.000  0.500 [3 per cell]
Rh  0.500  0.500  0.500 [1 per cell]
O  0.000  0.000  0.000 [1 per cell]

Crystal system: cubic
D(E_F), states/eV per atom: 0.792
ΔE to the lowest computed polymorph, eV per formula unit: 0.00
Uncorrected formation energy, eV per atom: 0.09